Density functional theory data (PBE with a Hubbard U) for crystalline MoSe2BrF at its relaxed geometry.

E = -0.118 Ha/atom

abc: 4.3599 4.3599 6.1196
angles: 90.00 90.00 90.00
With the nearest neighbours (Å) after each atom.
Atoms (fractional coordinates):
Br1 0.0000 0.0000 0.5000  2 F 3.06, 4 Mo 3.08
Mo1 0.5000 0.5000 0.5000  4 Br 3.08
Se1 0.0000 0.5000 0.0000  2 F 2.18
Se2 0.5000 0.0000 0.0000  2 F 2.18
F1 0.0000 0.0000 0.0000  4 Se 2.18